(1)
Below is a geometry-optimized Pr2GdNi9 structure, with properties calculated at the GGA-PBE level.

a b c (Å): 4.9906 4.9906 24.7490
angles (deg): 90.00 90.00 120.00
Last column: nearest neighbours and their distance in Å.
Space group R-3m (No. 166, hexagonal axes)
Symmetry-distinct sites (fractional):
Pr: 0.0000 0.0000 0.1385 (multiplicity 6)  12 Ni 2.89-3.19, 3 Pr 3.20
Gd: 0.0000 0.0000 0.0000 (multiplicity 3)  18 Ni 2.88-3.18
Ni: 0.0000 0.0000 0.3327 (multiplicity 6)  6 Ni 2.43-2.45
Ni: 0.0000 0.0000 0.5000 (multiplicity 3)  6 Ni 2.59
Ni: 0.0013 0.5007 0.0797 (multiplicity 18)  7 Ni 2.43-2.59

Properties
Magnetization (Bohr magnetons per cell): 1.278



(2)
Below is a geometry-optimized TbDy2Mg3Ga3 structure, with properties calculated at the GGA-PBE level.

a b c (Å): 4.4315 12.6291 7.2788
angles (deg): 90.00 90.00 90.00
Last column: nearest neighbours and their distance in Å.
Space group Amm2 (No. 38)
Symmetry-distinct sites (fractional):
Tb: 0.0000 0.0000 0.0000 (multiplicity 2)  5 Ga 3.11-3.12, 2 Mg 3.27
Dy: 0.0000 0.2135 0.6407 (multiplicity 4)  5 Ga 3.10-3.11, 2 Mg 3.27
Mg: 0.5000 0.0000 0.6703 (multiplicity 2)  4 Ga 2.82-2.83, 2 Mg 3.06
Mg: 0.5000 0.1215 0.3059 (multiplicity 4)  4 Ga 2.81-2.84, 2 Mg 3.06-3.07
Ga: 0.0000 0.0000 0.4282 (multiplicity 2)  6 Mg 2.83-2.84, 2 Dy 3.11, 1 Tb 3.12
Ga: 0.5000 0.1671 0.9272 (multiplicity 4)  3 Mg 2.81-2.82, 4 Dy 3.10, 2 Tb 3.11

Properties
Magnetization (Bohr magnetons per cell): 0.003



(3)
Below is a geometry-optimized Hf2Sn3W4N3 structure, with properties calculated at the GGA-PBE level.

a b c (Å): 9.7012 5.6702 13.9128
angles (deg): 90.00 103.25 90.00
Last column: nearest neighbours and their distance in Å.
Space group C2/c (No. 15)
Symmetry-distinct sites (fractional):
Hf: 0.0617 0.0889 0.4113 (multiplicity 8)  3 N 2.16-2.18
Sn: 0.0000 0.4399 0.2500 (multiplicity 4)  4 W 2.88-2.93, 2 Hf 2.96, 4 Sn 3.12-3.13
Sn: 0.1788 0.1025 0.7466 (multiplicity 8)  4 W 2.90-3.00, 2 Hf 2.98-3.02, 4 Sn 3.12-3.15
W: 0.1145 0.4464 0.5782 (multiplicity 8)  3 N 2.11-2.29
W: 0.2089 0.3993 0.9196 (multiplicity 8)  3 N 2.12-2.27
N: 0.0775 0.2305 0.0010 (multiplicity 8)  4 W 2.11-2.29, 2 Hf 2.17-2.18
N: 0.2500 0.2500 0.5000 (multiplicity 4)  2 Hf 2.16, 4 W 2.19-2.27

Properties
Magnetization (Bohr magnetons per cell): 0.002



(4)
Below is a geometry-optimized NaTm2IrO6 structure, with properties calculated at the GGA-PBE level.

a b c (Å): 5.3124 5.7289 9.2406
angles (deg): 90.00 122.91 90.00
Last column: nearest neighbours and their distance in Å.
Space group P2_1/c (No. 14)
Symmetry-distinct sites (fractional):
Na: 0.0000 0.0000 0.0000 (multiplicity 2)  6 O 2.17-2.29
Tm: 0.2126 0.0772 0.7411 (multiplicity 4)  5 O 2.19-2.40
Ir: 0.5000 0.0000 0.5000 (multiplicity 2)  6 O 1.98-1.99
O: 0.1351 0.1750 0.4410 (multiplicity 4)  1 Ir 1.98, 1 Na 2.17
O: 0.2537 0.7129 0.4137 (multiplicity 4)  1 Ir 1.98
O: 0.4169 0.0723 0.2674 (multiplicity 4)  1 Ir 1.99, 1 Tm 2.19

Properties
Magnetization (Bohr magnetons per cell): 3.995



(5)
Below is a geometry-optimized TbUSi structure, with properties calculated at the GGA-PBE level.

a b c (Å): 6.8019 6.8019 6.8019
angles (deg): 90.00 90.00 90.00
Last column: nearest neighbours and their distance in Å.
Space group F-43m (No. 216)
Symmetry-distinct sites (fractional):
Tb: 0.0000 0.0000 0.0000 (multiplicity 4)  4 Si 2.95
U: 0.0000 0.0000 0.5000 (multiplicity 4)  4 Si 2.95
Si: 0.2500 0.2500 0.2500 (multiplicity 4)  4 Tb 2.95, 4 U 2.95

Properties
Magnetization (Bohr magnetons per cell): 11.788
Energy above the lowest structure with this stoichiometry (meV per atom): 0



(6)
Below is a geometry-optimized BeTlCuPt structure, with properties calculated at the GGA-PBE level.

a b c (Å): 6.1890 6.1890 6.1890
angles (deg): 90.00 90.00 90.00
Last column: nearest neighbours and their distance in Å.
Space group F-43m (No. 216)
Symmetry-distinct sites (fractional):
Be: 0.0000 0.0000 0.0000 (multiplicity 4)  4 Pt 2.68, 4 Tl 2.68
Tl: 0.2500 0.2500 0.2500 (multiplicity 4)  4 Be 2.68, 4 Cu 2.68
Cu: 0.0000 0.0000 0.5000 (multiplicity 4)  4 Tl 2.68, 4 Pt 2.68
Pt: 0.2500 0.2500 0.7500 (multiplicity 4)  4 Cu 2.68, 4 Be 2.68

Properties
Magnetization (Bohr magnetons per cell): 0.002
Energy above the lowest structure with this stoichiometry (meV per atom): 0



(7)
Below is a geometry-optimized LiCdNiB structure, with properties calculated at the GGA-PBE level.

a b c (Å): 5.8064 5.8064 5.8064
angles (deg): 90.00 90.00 90.00
Last column: nearest neighbours and their distance in Å.
Space group F-43m (No. 216)
Symmetry-distinct sites (fractional):
Li: 0.0000 0.0000 0.0000 (multiplicity 4)  4 Cd 2.51, 4 B 2.51
Cd: 0.2500 0.2500 0.7500 (multiplicity 4)  4 Li 2.51, 4 Ni 2.51
Ni: 0.0000 0.0000 0.5000 (multiplicity 4)  4 Cd 2.51, 4 B 2.51
B: 0.2500 0.2500 0.2500 (multiplicity 4)  4 Ni 2.51, 4 Li 2.51

Properties
Magnetization (Bohr magnetons per cell): 0.001
Energy above the lowest structure with this stoichiometry (meV per atom): 0



(8)
Below is a geometry-optimized HfCo2Ag structure, with properties calculated at the GGA-PBE level.

a b c (Å): 6.2295 6.2295 6.2295
angles (deg): 90.00 90.00 90.00
Last column: nearest neighbours and their distance in Å.
Space group F-43m (No. 216)
Symmetry-distinct sites (fractional):
Hf: 0.0000 0.0000 0.0000 (multiplicity 4)  4 Co 2.70, 4 Ag 2.70
Co: 0.0000 0.0000 0.5000 (multiplicity 4)  4 Co 2.70, 4 Ag 2.70
Co: 0.2500 0.2500 0.2500 (multiplicity 4)  4 Hf 2.70, 4 Co 2.70
Ag: 0.2500 0.2500 0.7500 (multiplicity 4)  4 Hf 2.70, 4 Co 2.70

Properties
Magnetization (Bohr magnetons per cell): 10.312



(9)
Below is a geometry-optimized SmErZr2As2 structure, with properties calculated at the GGA-PBE level.

a b c (Å): 4.2887 4.2887 16.7328
angles (deg): 90.00 90.00 90.00
Last column: nearest neighbours and their distance in Å.
Space group I4mm (No. 107)
Symmetry-distinct sites (fractional):
Sm: 0.0000 0.0000 0.0000 (multiplicity 2)  5 As 3.13-3.16
Er: 0.0000 0.0000 0.3544 (multiplicity 2)  5 As 3.12-3.22
Zr: 0.0000 0.5000 0.1793 (multiplicity 4)  4 Zr 3.03, 4 As 3.08-3.09
As: 0.0000 0.0000 0.5467 (multiplicity 2)  4 Zr 3.09, 4 Sm 3.13, 1 Er 3.22
As: 0.0000 0.0000 0.8110 (multiplicity 2)  4 Zr 3.08, 4 Er 3.12, 1 Sm 3.16

Properties
Magnetization (Bohr magnetons per cell): 0.066



(10)
Below is a geometry-optimized AcDyOs structure, with properties calculated at the GGA-PBE level.

a b c (Å): 6.9294 6.9294 6.9294
angles (deg): 90.00 90.00 90.00
Last column: nearest neighbours and their distance in Å.
Space group F-43m (No. 216)
Symmetry-distinct sites (fractional):
Ac: 0.0000 0.0000 0.0000 (multiplicity 4)  4 Dy 3.00
Dy: 0.2500 0.2500 0.2500 (multiplicity 4)  4 Ac 3.00, 4 Os 3.00
Os: 0.0000 0.0000 0.5000 (multiplicity 4)  4 Dy 3.00

Properties
Magnetization (Bohr magnetons per cell): 0.006
Energy above the lowest structure with this stoichiometry (meV per atom): 0



(11)
Below is a geometry-optimized Cs2AgSnBr4Cl2 structure, with properties calculated at the GGA-PBE level.

a b c (Å): 7.9419 7.9419 10.7871
angles (deg): 90.00 90.00 90.00
Last column: nearest neighbours and their distance in Å.
Space group I4/mmm (No. 139)
Symmetry-distinct sites (fractional):
Cs: 0.0000 0.5000 0.2500 (multiplicity 4)  8 Br 3.89, 4 Cl 3.97
Ag: 0.0000 0.0000 0.0000 (multiplicity 2)  2 Cl 2.73, 4 Br 2.81
Sn: 0.0000 0.0000 0.5000 (multiplicity 2)  2 Cl 2.67, 4 Br 2.81
Br: 0.2498 0.2498 0.0000 (multiplicity 8)  1 Ag 2.81, 1 Sn 2.81
Cl: 0.0000 0.0000 0.2529 (multiplicity 4)  1 Sn 2.67, 1 Ag 2.73



(12)
Below is a geometry-optimized DyEr3Lu2Bi2Os structure, with properties calculated at the GGA-PBE level.

a b c (Å): 4.2175 14.2579 8.1742
angles (deg): 90.00 90.00 90.00
Last column: nearest neighbours and their distance in Å.
Space group Amm2 (No. 38)
Symmetry-distinct sites (fractional):
Dy: 0.0000 0.0000 0.0000 (multiplicity 2)  2 Os 2.87
Er: 0.5000 0.0000 0.6147 (multiplicity 2)  1 Os 3.07, 4 Bi 3.33
Er: 0.5000 0.1929 0.0401 (multiplicity 4)  1 Os 3.19, 4 Bi 3.29-3.31, 2 Lu 3.46, 2 Dy 3.48
Lu: 0.0000 0.1162 0.3486 (multiplicity 4)  2 Os 2.83
Bi: 0.0000 0.1680 0.7310 (multiplicity 4)  2 Lu 3.21-3.22, 1 Dy 3.25, 6 Er 3.29-3.33
Os: 0.5000 0.0000 0.2387 (multiplicity 2)  4 Lu 2.83, 2 Dy 2.87, 1 Er 3.07

Properties
Magnetization (Bohr magnetons per cell): 0.084



(13)
Below is a geometry-optimized TaPS6 structure, with properties calculated at the GGA-PBE level.

a b c (Å): 16.0148 16.0148 13.3329
angles (deg): 90.00 90.00 90.00
Last column: nearest neighbours and their distance in Å.
Space group I4_1/acd (No. 142, origin choice 2)
Symmetry-distinct sites (fractional):
Ta: 0.0754 0.1746 0.1250 (multiplicity 16)  8 S 2.47-2.59
P: 0.0694 0.0000 0.2500 (multiplicity 16)  4 S 2.04-2.06
S: 0.0016 0.0316 0.1258 (multiplicity 32)  1 P 2.04
S: 0.0439 0.2037 0.5028 (multiplicity 32)  1 S 2.04
S: 0.1448 0.1033 0.2668 (multiplicity 32)  1 P 2.06

Properties
Magnetization (Bohr magnetons per cell): 0.007



(14)
Below is a geometry-optimized TmZn6Ag6 structure, with properties calculated at the GGA-PBE level.

a b c (Å): 5.1690 9.2181 9.3077
angles (deg): 90.00 90.00 90.00
Last column: nearest neighbours and their distance in Å.
Space group Immm (No. 71)
Symmetry-distinct sites (fractional):
Tm: 0.0000 0.0000 0.0000 (multiplicity 2)  8 Ag 3.13-3.22, 4 Zn 3.34
Zn: 0.0000 0.5000 0.2722 (multiplicity 4)  4 Zn 2.65, 6 Ag 2.76-2.90
Zn: 0.2500 0.2500 0.2500 (multiplicity 8)  4 Zn 2.58-2.65, 6 Ag 2.72-2.80
Ag: 0.0000 0.0000 0.3459 (multiplicity 4)  6 Zn 2.79-2.81, 1 Ag 2.87
Ag: 0.0000 0.3085 0.5000 (multiplicity 4)  6 Zn 2.72-2.76, 2 Ag 2.95
Ag: 0.0000 0.3459 0.0000 (multiplicity 4)  6 Zn 2.80-2.90, 3 Ag 2.84-2.95

Properties
Magnetization (Bohr magnetons per cell): 0.046



(15)
Below is a geometry-optimized RbHg3Pd structure, with properties calculated at the GGA-PBE level.

a b c (Å): 5.4216 5.4216 5.4216
angles (deg): 90.00 90.00 90.00
Last column: nearest neighbours and their distance in Å.
Space group Pm-3m (No. 221)
Symmetry-distinct sites (fractional):
Rb: 0.0000 0.0000 0.0000 (multiplicity 1)  12 Hg 3.83
Hg: 0.0000 0.5000 0.5000 (multiplicity 3)  2 Pd 2.71
Pd: 0.5000 0.5000 0.5000 (multiplicity 1)  6 Hg 2.71



(16)
Below is a geometry-optimized SrInSnPt2 structure, with properties calculated at the GGA-PBE level.

a b c (Å): 4.8775 4.6926 10.4348
angles (deg): 90.00 93.27 90.00
Last column: nearest neighbours and their distance in Å.
Space group P2_1/m (No. 11)
Symmetry-distinct sites (fractional):
Sr: 0.2293 0.2500 0.2415 (multiplicity 2)  3 Pt 3.11-3.43
In: 0.3184 0.2500 0.8840 (multiplicity 2)  5 Pt 2.70-2.76
Sn: 0.2448 0.7500 0.4970 (multiplicity 2)  4 Pt 2.70-2.76
Pt: 0.1704 0.7500 0.0014 (multiplicity 2)  4 In 2.70-2.76, 2 Pt 2.87
Pt: 0.2713 0.2500 0.6250 (multiplicity 2)  1 In 2.70, 4 Sn 2.70-2.76

Properties
Magnetization (Bohr magnetons per cell): 0.013
Energy above the lowest structure with this stoichiometry (meV per atom): 31



(17)
Below is a geometry-optimized UZnIn structure, with properties calculated at the GGA-PBE level.

a b c (Å): 6.9970 6.9970 6.9970
angles (deg): 90.00 90.00 90.00
Last column: nearest neighbours and their distance in Å.
Space group F-43m (No. 216)
Symmetry-distinct sites (fractional):
U: 0.0000 0.0000 0.0000 (multiplicity 4)  4 Zn 3.03, 4 In 3.03
Zn: 0.2500 0.2500 0.2500 (multiplicity 4)  4 U 3.03
In: 0.2500 0.2500 0.7500 (multiplicity 4)  4 U 3.03

Properties
Magnetization (Bohr magnetons per cell): 11.586



(18)
Below is a geometry-optimized Cu2Ag3 structure, with properties calculated at the GGA-PBE level.

a b c (Å): 9.5051 2.8791 11.5052
angles (deg): 90.00 97.99 90.00
Last column: nearest neighbours and their distance in Å.
Space group Cm (No. 8)
Symmetry-distinct sites (fractional):
Cu: 0.0000 0.0000 0.0000 (multiplicity 2)  2 Cu 2.52, 7 Ag 2.67-2.76
Cu: 0.0331 0.5000 0.4765 (multiplicity 2)  4 Cu 2.61-2.88, 7 Ag 2.74-2.89
Cu: 0.3471 0.0000 0.1116 (multiplicity 2)  4 Cu 2.52-2.58, 5 Ag 2.69-2.78
Cu: 0.4415 0.5000 0.2919 (multiplicity 2)  6 Cu 2.58-2.88, 5 Ag 2.75-2.84
Ag: 0.1288 0.0000 0.6880 (multiplicity 2)  10 Ag 2.82-3.05, 2 Cu 2.86
Ag: 0.1329 0.5000 0.1772 (multiplicity 2)  7 Cu 2.67-2.79, 4 Ag 2.82-2.88
Ag: 0.2120 0.5000 0.9214 (multiplicity 2)  5 Cu 2.73-2.78, 7 Ag 2.88-3.05
Ag: 0.2353 0.0000 0.3822 (multiplicity 2)  6 Cu 2.74-2.89, 6 Ag 2.81-2.88
Ag: 0.3417 0.5000 0.5856 (multiplicity 2)  3 Cu 2.76-3.03, 9 Ag 2.81-2.91
Ag: 0.4200 0.0000 0.8044 (multiplicity 2)  2 Cu 2.69, 10 Ag 2.88-2.92

Properties
Energy above the lowest structure with this stoichiometry (meV per atom): 46



(19)
Below is a geometry-optimized AgB2 structure, with properties calculated at the GGA-PBE level.

a b c (Å): 6.2787 6.2787 6.2787
angles (deg): 90.00 90.00 90.00
Last column: nearest neighbours and their distance in Å.
Space group Fd-3m (No. 227, origin choice 2)
Symmetry-distinct sites (fractional):
Ag: 0.1250 0.1250 0.1250 (multiplicity 8)  12 B 2.60, 4 Ag 2.72
B: 0.0000 0.0000 0.5000 (multiplicity 16)  6 B 2.22

Properties
Energy above the lowest structure with this stoichiometry (meV per atom): 989



(20)
Below is a geometry-optimized GdAsO4 structure, with properties calculated at the GGA-PBE level.

a b c (Å): 7.0971 7.0971 6.3667
angles (deg): 90.00 90.00 90.00
Last column: nearest neighbours and their distance in Å.
Space group I4_1/amd (No. 141, origin choice 2)
Symmetry-distinct sites (fractional):
Gd: 0.0000 0.2500 0.3750 (multiplicity 4)  8 O 2.30-2.44
As: 0.0000 0.2500 0.8750 (multiplicity 4)  4 O 1.71
O: 0.0000 0.0675 0.6999 (multiplicity 16)  1 As 1.71

Properties
Magnetization (Bohr magnetons per cell): 0.000



Ordered final energy results: -204.378; -64.089; -441.762; -143.405; -83.447; -61.242; -53.706; -104.926; -81.999; -70.771; -61.470; -103.384; -740.922; -62.121; -8.361; -48.395; -51.457; -62.054; -93.218; -173.365; unit eV/cell.
Ordered volume results: 178; 204; 186; 118; 79; 59; 49; 60; 154; 83; 340; 246; 214; 222; 159; 119; 86; 78; 31; 80; unit Å³/f.u..